Na2SnPd after structural relaxation. Source: Alexandria via LeMat-Bulk, functional PBE-GGA.

a = 11.101 Å, b = 11.101 Å, c = 11.101 Å
α = 16.34°, β = 16.34°, γ = 16.34°
Sites, in units of the cell vectors:
Na 0.082 0.082 0.082
Na 0.918 0.918 0.918
Sn 0.500 0.500 0.500
Pd 0.000 0.000 0.000

Output
energy = -2.82 eV/atom
total magnetization = 0.000 μB per atom
SG = R-3m, No. 166